1.
## Rb2LiSb2Pb (PBE-GGA)

Data for an optimized crystal structure of Rb2LiSb2Pb.

Output
Total magnetic moment ... 0.00 μB per formula unit
Crystal system ... orthorhombic
SG ... No. 72
Energy relative to the elements, uncorrected ... -0.40 eV/atom
Total energy ... -36.460 eV for the cell shown

The structure in POSCAR format:
```
Rb2LiSb2Pb
1.0
7.168 0.000 0.000
0.000 7.293 0.000
-3.584 -3.646 8.515
Rb Li Sb Pb
4 2 4 2
Direct
0.420 0.172 0.344
0.580 0.828 0.656
0.077 0.328 0.656
0.923 0.672 0.344
0.000 0.750 0.000
0.000 0.250 0.000
0.860 0.099 0.198
0.338 0.599 0.198
0.662 0.401 0.802
0.140 0.901 0.802
0.500 0.750 0.000
0.500 0.250 0.000
```

=====

2.
## Li3Dy2BeNi12 (PBE-GGA)

Data for an optimized crystal structure of Li3Dy2BeNi12.

Output
Total magnetic moment ... 0.00 μB per formula unit
Crystal system ... trigonal
SG ... No. 166
Total energy ... -86.075 eV for the cell shown
Energy of formation ... 110 meV/atom

The structure in POSCAR format:
```
Li3Dy2BeNi12
1.0
-8.175 -1.980 -3.116
-4.252 -2.843 -7.369
-4.900 -6.828 -3.135
Li Dy Be Ni
3 2 1 12
Direct
0.500 0.000 0.000
0.000 0.500 0.000
0.000 0.000 0.500
0.650 0.650 0.650
0.350 0.350 0.350
0.000 0.000 0.000
0.419 0.419 0.818
0.922 0.922 0.347
0.347 0.922 0.922
0.818 0.419 0.419
0.922 0.347 0.922
0.419 0.818 0.419
0.581 0.581 0.182
0.078 0.078 0.653
0.653 0.078 0.078
0.182 0.581 0.581
0.078 0.653 0.078
0.581 0.182 0.581
```

=====

3.
## Ba2Zn2P2O (PBE-GGA)

Data for an optimized crystal structure of Ba2Zn2P2O.

Output
Total magnetic moment ... 0.00 μB per formula unit
Crystal system ... monoclinic
SG ... No. 12
Energy relative to the elements, uncorrected ... -1.18 eV/atom
Total energy ... -30.428 eV for the cell shown

The structure in POSCAR format:
```
Ba2Zn2P2O
1.0
4.056 0.000 0.000
2.028 6.081 -0.101
2.028 2.198 6.248
Ba Zn P O
2 2 2 1
Direct
0.548 0.196 0.708
0.452 0.804 0.292
0.197 0.689 0.917
0.803 0.311 0.083
0.191 0.351 0.268
0.809 0.649 0.732
0.000 0.000 0.000
```

=====

4.
## BrF (PBE-GGA)

Data for an optimized crystal structure of BrF.

Output
Total magnetic moment ... 0.00 μB per formula unit
Crystal system ... monoclinic
SG ... No. 11
Energy relative to the elements, uncorrected ... -0.32 eV/atom
Total energy ... -8.353 eV for the cell shown

The structure in POSCAR format:
```
BrF
1.0
-3.296 4.212 0.287
-3.980 -2.833 -4.142
0.094 -0.165 3.505
Br F
2 2
Direct
0.250 0.296 0.164
0.750 0.704 0.836
0.250 0.952 0.576
0.750 0.048 0.424
```

=====

5.
## NdEr6Tm (PBE-GGA)

Data for an optimized crystal structure of NdEr6Tm.

Output
Total magnetic moment ... 0.02 μB per formula unit
Crystal system ... triclinic
SG ... No. 2
Total energy ... -34.915 eV for the cell shown
Energy of formation ... 213 meV/atom

The structure in POSCAR format:
```
NdEr6Tm
1.0
0.262 -4.936 4.427
5.806 -1.798 -2.326
4.536 0.473 5.379
Nd Er Tm
1 6 1
Direct
0.000 0.000 0.000
0.092 0.767 0.481
0.564 0.728 0.531
0.436 0.272 0.469
0.908 0.233 0.519
0.538 0.747 0.001
0.462 0.253 0.999
0.000 0.500 0.000
```

=====

6.
## Er3IrRh8 (PBE-GGA)

Data for an optimized crystal structure of Er3IrRh8.

Output
Total magnetic moment ... 0.00 μB per formula unit
Crystal system ... trigonal
SG ... No. 160
Total energy ... -87.190 eV for the cell shown
Energy of formation ... -486 meV/atom

The structure in POSCAR format:
```
Er3IrRh8
1.0
5.039 0.000 1.495
2.298 4.485 1.495
0.029 0.018 9.144
Er Ir Rh
3 1 8
Direct
0.623 0.623 0.130
0.012 0.012 0.964
0.492 0.492 0.524
0.139 0.139 0.583
0.562 0.062 0.815
0.059 0.561 0.322
0.562 0.562 0.815
0.059 0.059 0.322
0.810 0.810 0.571
0.311 0.311 0.068
0.062 0.562 0.815
0.561 0.059 0.322
```

=====

7.
## LaTh2Sc2 (PBE-GGA)

Data for an optimized crystal structure of LaTh2Sc2.

Output
Total magnetic moment ... 0.00 μB per formula unit
Crystal system ... trigonal
SG ... No. 166
Total energy ... -32.184 eV for the cell shown
Energy of formation ... 49 meV/atom

The structure in POSCAR format:
```
LaTh2Sc2
1.0
3.491 0.000 0.432
1.719 3.038 0.432
0.031 0.018 14.063
La Th Sc
1 2 2
Direct
0.000 0.000 0.000
0.799 0.799 0.602
0.201 0.201 0.398
0.401 0.401 0.797
0.599 0.599 0.203
```

=====

8.
## AlNiIr2 (PBE-GGA)

Data for an optimized crystal structure of AlNiIr2.

Output
Total magnetic moment ... 0.00 μB per formula unit
Crystal system ... cubic
SG ... No. 216
Total energy ... -27.841 eV for the cell shown
Energy of formation ... -149 meV/atom

The structure in POSCAR format:
```
AlNiIr2
1.0
4.274 0.000 0.000
2.137 3.702 0.000
2.137 1.234 3.490
Ni Ir Al
1 2 1
Direct
0.750 0.750 0.750
0.000 0.000 0.000
0.250 0.250 0.250
0.500 0.500 0.500
```

=====

9.
## AcZnAg3 (PBE-GGA)

Data for an optimized crystal structure of AcZnAg3.

Output
Total magnetic moment ... 0.00 μB per formula unit
Relative energy among the computed polymorphs ... 0.00 eV/f.u.
Crystal system ... monoclinic
SG ... No. 8
Total energy ... -15.037 eV for the cell shown
Energy of formation ... -220 meV/atom

The structure in POSCAR format:
```
AcZnAg3
1.0
4.182 0.466 -1.846
-1.270 4.012 -1.846
0.276 0.424 6.341
Ac Zn Ag
1 1 3
Direct
0.400 0.400 0.801
0.775 0.775 0.550
0.655 0.158 0.313
0.158 0.655 0.313
0.009 0.009 0.017
```

=====

10.
## Rb2Tl5Bi (PBE-GGA)

Data for an optimized crystal structure of Rb2Tl5Bi.

Output
Total magnetic moment ... 0.00 μB per formula unit
Crystal system ... tetragonal
SG ... No. 139
Total energy ... -18.424 eV for the cell shown
Energy of formation ... -97 meV/atom

The structure in POSCAR format:
```
Rb2Tl5Bi
1.0
5.860 0.000 0.000
0.000 5.860 0.000
-2.930 -2.930 8.525
Rb Tl Bi
2 5 1
Direct
0.755 0.755 0.510
0.245 0.245 0.490
0.500 0.500 0.000
0.899 0.399 0.799
0.399 0.899 0.799
0.101 0.601 0.201
0.601 0.101 0.201
0.000 0.000 0.000
```

=====

11.
## Dy3Y3Tl (PBE-GGA)

Data for an optimized crystal structure of Dy3Y3Tl.

Output
Total magnetic moment ... 0.57 μB per formula unit
Crystal system ... monoclinic
SG ... No. 11
Total energy ... -72.113 eV for the cell shown
Energy of formation ... -70 meV/atom

The structure in POSCAR format:
```
Dy3Y3Tl
1.0
5.537 0.000 0.000
0.000 9.440 -0.028
0.000 -4.702 8.186
Dy Y Tl
6 6 2
Direct
0.750 0.759 0.823
0.750 0.064 0.241
0.750 0.177 0.937
0.250 0.241 0.177
0.250 0.936 0.759
0.250 0.823 0.063
0.250 0.520 0.627
0.250 0.106 0.479
0.250 0.372 0.893
0.750 0.480 0.373
0.750 0.894 0.521
0.750 0.628 0.107
0.750 0.333 0.667
0.250 0.667 0.333
```

=====

12.
## Tb2LuPt (PBE-GGA)

Data for an optimized crystal structure of Tb2LuPt.

Output
Total magnetic moment ... 0.00 μB per formula unit
Relative energy among the computed polymorphs ... 0.00 eV/f.u.
Crystal system ... tetragonal
SG ... No. 123
Total energy ... -22.061 eV for the cell shown
Energy of formation ... -560 meV/atom

The structure in POSCAR format:
```
Tb2LuPt
1.0
-0.578 0.029 -3.533
-1.207 -3.366 0.170
-7.666 2.814 1.277
Lu Tb Pt
1 2 1
Direct
0.500 0.500 0.500
0.000 0.000 0.800
0.000 0.000 0.200
0.500 0.500 0.000
```